(1)
La2SnF: relaxed, PBE.

Output
polymorph energy (0 for the lowest one) = 0.92 eV/f.u.
size of the total moment = 1.143 μB per cell
density of states at the Fermi level = 4.10 states/eV/f.u.
formation energy (no corrections) = -1.312 eV/atom

```
data_La2SnF
_cell_length_a 6.155
_cell_length_b 6.155
_cell_length_c 13.956
_cell_angle_alpha 90.00
_cell_angle_beta 90.00
_cell_angle_gamma 90.00
_symmetry_space_group_name_H-M 'I -4 2 d'
_symmetry_Int_Tables_number 122
_symmetry_space_group_name_Hall 'I -4 2bw'
loop_
_atom_site_label
_atom_site_type_symbol
_atom_site_fract_x
_atom_site_fract_y
_atom_site_fract_z
La1 La 0.170 0.250 0.125
Sn1 Sn 0.000 0.000 0.500
F1 F 0.000 0.000 0.000
```

---

(2)
LaSn2F: relaxed, PBE.

Output
polymorph energy (0 for the lowest one) = 0.00 eV/f.u.
size of the total moment = 0.000 μB per cell
density of states at the Fermi level = 0.89 states/eV/f.u.
formation energy (no corrections) = -0.746 eV/atom

```
data_LaSn2F
_cell_length_a 5.578
_cell_length_b 5.578
_cell_length_c 16.013
_cell_angle_alpha 90.00
_cell_angle_beta 90.00
_cell_angle_gamma 90.00
_symmetry_space_group_name_H-M 'I -4 2 d'
_symmetry_Int_Tables_number 122
_symmetry_space_group_name_Hall 'I -4 2bw'
loop_
_atom_site_label
_atom_site_type_symbol
_atom_site_fract_x
_atom_site_fract_y
_atom_site_fract_z
La1 La 0.000 0.000 0.000
Sn1 Sn 0.093 0.250 0.625
F1 F 0.000 0.000 0.500
```

---

(3)
La2Sn2F: relaxed, PBE.

Output
size of the total moment = 0.000 μB per cell
density of states at the Fermi level = 3.78 states/eV/f.u.
formation energy (no corrections) = -1.407 eV/atom

```
data_La2Sn2F
_cell_length_a 7.443
_cell_length_b 7.443
_cell_length_c 5.105
_cell_angle_alpha 90.00
_cell_angle_beta 90.00
_cell_angle_gamma 90.00
_symmetry_space_group_name_H-M 'P 4/m b m'
_symmetry_Int_Tables_number 127
_symmetry_space_group_name_Hall '-P 4 2ab'
loop_
_atom_site_label
_atom_site_type_symbol
_atom_site_fract_x
_atom_site_fract_y
_atom_site_fract_z
La1 La 0.175 0.325 0.000
Sn1 Sn 0.136 0.636 0.500
F1 F 0.000 0.000 0.000
```

---

(4)
LaSnF2: relaxed, PBE.

Output
polymorph energy (0 for the lowest one) = 2.85 eV/f.u.
size of the total moment = 2.864 μB per cell
density of states at the Fermi level = 4.60 states/eV/f.u.
formation energy (no corrections) = -1.822 eV/atom

```
data_LaSnF2
_cell_length_a 6.757
_cell_length_b 6.757
_cell_length_c 6.757
_cell_angle_alpha 90.00
_cell_angle_beta 90.00
_cell_angle_gamma 90.00
_symmetry_space_group_name_H-M 'F m -3 m'
_symmetry_Int_Tables_number 225
_symmetry_space_group_name_Hall '-F 4 2 3'
loop_
_atom_site_label
_atom_site_type_symbol
_atom_site_fract_x
_atom_site_fract_y
_atom_site_fract_z
La1 La 0.000 0.000 0.000
Sn1 Sn 0.000 0.000 0.500
F1 F 0.250 0.250 0.250
```

---

(5)
La4Sn2F: relaxed, PBE.

Output
size of the total moment = 4.306 μB per cell
density of states at the Fermi level = 6.69 states/eV/f.u.
formation energy (no corrections) = -1.197 eV/atom

```
data_La4Sn2F
_cell_length_a 4.900
_cell_length_b 4.900
_cell_length_c 17.942
_cell_angle_alpha 90.00
_cell_angle_beta 90.00
_cell_angle_gamma 90.00
_symmetry_space_group_name_H-M 'I 4/m m m'
_symmetry_Int_Tables_number 139
_symmetry_space_group_name_Hall '-I 4 2'
loop_
_atom_site_label
_atom_site_type_symbol
_atom_site_fract_x
_atom_site_fract_y
_atom_site_fract_z
La1 La 0.000 0.000 0.182
La2 La 0.000 0.500 0.000
Sn1 Sn 0.000 0.000 0.366
F1 F 0.000 0.000 0.000
```

---

(6)
LaZn2SnF: relaxed, PBE.

Output
size of the total moment = 0.000 μB per cell
density of states at the Fermi level = 1.89 states/eV/f.u.
formation energy (no corrections) = -0.909 eV/atom

```
data_LaZn2SnF
_cell_length_a 4.857
_cell_length_b 4.857
_cell_length_c 4.769
_cell_angle_alpha 90.00
_cell_angle_beta 90.00
_cell_angle_gamma 90.00
_symmetry_space_group_name_H-M 'P 4/m m m'
_symmetry_Int_Tables_number 123
_symmetry_space_group_name_Hall '-P 4 2'
loop_
_atom_site_label
_atom_site_type_symbol
_atom_site_fract_x
_atom_site_fract_y
_atom_site_fract_z
La1 La 0.000 0.000 0.000
Zn1 Zn 0.000 0.500 0.500
Sn1 Sn 0.500 0.500 0.000
F1 F 0.000 0.000 0.500
```

---

(7)
Sr3LaF: relaxed, PBE.

Output
polymorph energy (0 for the lowest one) = 0.00 eV/f.u.
size of the total moment = 1.265 μB per cell
density of states at the Fermi level = 5.36 states/eV/f.u.
formation energy (no corrections) = -0.910 eV/atom

```
data_Sr3LaF
_cell_length_a 5.683
_cell_length_b 5.683
_cell_length_c 5.683
_cell_angle_alpha 90.00
_cell_angle_beta 90.00
_cell_angle_gamma 90.00
_symmetry_space_group_name_H-M 'P m -3 m'
_symmetry_Int_Tables_number 221
_symmetry_space_group_name_Hall '-P 4 2 3'
loop_
_atom_site_label
_atom_site_type_symbol
_atom_site_fract_x
_atom_site_fract_y
_atom_site_fract_z
Sr1 Sr 0.000 0.000 0.500
La1 La 0.500 0.500 0.500
F1 F 0.000 0.000 0.000
```

---

(8)
Sr2LaF8: relaxed, PBE.

Output
size of the total moment = 2.093 μB per cell
formation energy (no corrections) = -3.610 eV/atom

```
data_Sr2LaF8
_cell_length_a 4.125
_cell_length_b 6.222
_cell_length_c 12.349
_cell_angle_alpha 90.00
_cell_angle_beta 90.00
_cell_angle_gamma 90.00
_symmetry_space_group_name_H-M 'I m m m'
_symmetry_Int_Tables_number 71
_symmetry_space_group_name_Hall '-I 2 2'
loop_
_atom_site_label
_atom_site_type_symbol
_atom_site_fract_x
_atom_site_fract_y
_atom_site_fract_z
Sr1 Sr 0.000 0.000 0.185
La1 La 0.000 0.000 0.500
F1 F 0.000 0.170 0.000
F2 F 0.000 0.262 0.342
F3 F 0.000 0.500 0.113
```

---

(9)
Sr4La2F: relaxed, PBE.

Output
size of the total moment = 0.000 μB per cell
density of states at the Fermi level = 9.13 states/eV/f.u.
formation energy (no corrections) = -0.453 eV/atom

```
data_Sr4La2F
_cell_length_a 5.236
_cell_length_b 5.236
_cell_length_c 20.463
_cell_angle_alpha 90.00
_cell_angle_beta 90.00
_cell_angle_gamma 90.00
_symmetry_space_group_name_H-M 'I 4/m m m'
_symmetry_Int_Tables_number 139
_symmetry_space_group_name_Hall '-I 4 2'
loop_
_atom_site_label
_atom_site_type_symbol
_atom_site_fract_x
_atom_site_fract_y
_atom_site_fract_z
Sr1 Sr 0.000 0.000 0.151
Sr2 Sr 0.000 0.500 0.000
La1 La 0.000 0.000 0.328
F1 F 0.000 0.000 0.000
```

---

(10)
SrLaF3: relaxed, PBE.

Output
polymorph energy (0 for the lowest one) = 0.74 eV/f.u.
size of the total moment = 1.799 μB per cell
density of states at the Fermi level = 4.81 states/eV/f.u.
formation energy (no corrections) = -2.720 eV/atom

```
data_SrLaF3
_cell_length_a 4.767
_cell_length_b 4.767
_cell_length_c 4.767
_cell_angle_alpha 90.00
_cell_angle_beta 90.00
_cell_angle_gamma 90.00
_symmetry_space_group_name_H-M 'P m -3 m'
_symmetry_Int_Tables_number 221
_symmetry_space_group_name_Hall '-P 4 2 3'
loop_
_atom_site_label
_atom_site_type_symbol
_atom_site_fract_x
_atom_site_fract_y
_atom_site_fract_z
Sr1 Sr 0.000 0.000 0.000
La1 La 0.500 0.500 0.500
F1 F 0.000 0.000 0.500
```

---

(11)
Sr3LaF: relaxed, PBE.

Output
polymorph energy (0 for the lowest one) = 6.38 eV/f.u.
size of the total moment = 4.075 μB per cell
density of states at the Fermi level = 5.28 states/eV/f.u.
formation energy (no corrections) = 0.366 eV/atom

```
data_Sr3LaF
_cell_length_a 6.816
_cell_length_b 6.816
_cell_length_c 6.816
_cell_angle_alpha 90.00
_cell_angle_beta 90.00
_cell_angle_gamma 90.00
_symmetry_space_group_name_H-M 'P m -3 m'
_symmetry_Int_Tables_number 221
_symmetry_space_group_name_Hall '-P 4 2 3'
loop_
_atom_site_label
_atom_site_type_symbol
_atom_site_fract_x
_atom_site_fract_y
_atom_site_fract_z
Sr1 Sr 0.000 0.000 0.500
La1 La 0.000 0.000 0.000
F1 F 0.500 0.500 0.500
```

---

(12)
Sr2LaF7: relaxed, PBE.

Output
size of the total moment = 0.139 μB per cell
density of states at the Fermi level = 0.00 states/eV/f.u.
formation energy (no corrections) = -3.976 eV/atom

```
data_Sr2LaF7
_cell_length_a 7.116
_cell_length_b 4.125
_cell_length_c 21.499
_cell_angle_alpha 90.00
_cell_angle_beta 95.82
_cell_angle_gamma 90.00
_symmetry_space_group_name_H-M 'C 1 m 1'
_symmetry_Int_Tables_number 8
_symmetry_space_group_name_Hall 'C -2y'
loop_
_atom_site_label
_atom_site_type_symbol
_atom_site_fract_x
_atom_site_fract_y
_atom_site_fract_z
Sr1 Sr 0.000 0.000 0.000
Sr2 Sr 0.068 0.500 0.676
Sr3 Sr 0.284 0.000 0.835
Sr4 Sr 0.352 0.500 0.516
La1 La 0.132 0.000 0.346
La2 La 0.384 0.000 0.165
F1 F 0.032 0.500 0.559
F2 F 0.035 0.000 0.113
F3 F 0.096 0.000 0.229
F4 F 0.105 0.500 0.796
F5 F 0.155 0.500 0.964
F6 F 0.173 0.000 0.474
F7 F 0.218 0.500 0.157
F8 F 0.248 0.000 0.719
F9 F 0.286 0.500 0.289
F10 F 0.318 0.500 0.405
F11 F 0.348 0.000 0.048
F12 F 0.390 0.500 0.639
F13 F 0.463 0.500 0.878
F14 F 0.467 0.000 0.346
```

---

(13)
SrLaF3: relaxed, PBE.

Output
polymorph energy (0 for the lowest one) = 0.00 eV/f.u.
size of the total moment = 0.000 μB per cell
density of states at the Fermi level = 0.02 states/eV/f.u.
formation energy (no corrections) = -2.867 eV/atom

```
data_SrLaF3
_cell_length_a 4.926
_cell_length_b 4.926
_cell_length_c 4.926
_cell_angle_alpha 90.00
_cell_angle_beta 90.00
_cell_angle_gamma 90.00
_symmetry_space_group_name_H-M 'P m -3 m'
_symmetry_Int_Tables_number 221
_symmetry_space_group_name_Hall '-P 4 2 3'
loop_
_atom_site_label
_atom_site_type_symbol
_atom_site_fract_x
_atom_site_fract_y
_atom_site_fract_z
Sr1 Sr 0.000 0.000 0.000
La1 La 0.500 0.500 0.500
F1 F 0.000 0.500 0.500
```

---

(14)
SrLaF6: relaxed, PBE.

Output
size of the total moment = 2.162 μB per cell
density of states at the Fermi level = 5.44 states/eV/f.u.
formation energy (no corrections) = -3.445 eV/atom

```
data_SrLaF6
_cell_length_a 4.031
_cell_length_b 7.236
_cell_length_c 7.996
_cell_angle_alpha 90.00
_cell_angle_beta 90.00
_cell_angle_gamma 90.00
_symmetry_space_group_name_H-M 'A m m 2'
_symmetry_Int_Tables_number 38
_symmetry_space_group_name_Hall 'A 2 -2'
loop_
_atom_site_label
_atom_site_type_symbol
_atom_site_fract_x
_atom_site_fract_y
_atom_site_fract_z
Sr1 Sr 0.000 0.000 0.000
La1 La 0.500 0.000 0.473
F1 F 0.000 0.000 0.682
F2 F 0.000 0.171 0.374
F3 F 0.500 0.000 0.777
F4 F 0.500 0.190 0.086
```

---

(15)
SrLaZnF2: relaxed, PBE.

Output
size of the total moment = 0.000 μB per cell
density of states at the Fermi level = 4.08 states/eV/f.u.
formation energy (no corrections) = -0.680 eV/atom

```
data_SrLaZnF2
_cell_length_a 4.818
_cell_length_b 4.818
_cell_length_c 5.693
_cell_angle_alpha 90.00
_cell_angle_beta 90.00
_cell_angle_gamma 90.00
_symmetry_space_group_name_H-M 'P 4/m m m'
_symmetry_Int_Tables_number 123
_symmetry_space_group_name_Hall '-P 4 2'
loop_
_atom_site_label
_atom_site_type_symbol
_atom_site_fract_x
_atom_site_fract_y
_atom_site_fract_z
Sr1 Sr 0.000 0.000 0.000
La1 La 0.500 0.500 0.000
Zn1 Zn 0.000 0.000 0.500
F1 F 0.000 0.500 0.500
```

---

(16)
LaTa2F: relaxed, PBE.

Output
polymorph energy (0 for the lowest one) = 1.93 eV/f.u.
size of the total moment = 0.000 μB per cell
density of states at the Fermi level = 1.07 states/eV/f.u.
formation energy (no corrections) = 0.783 eV/atom

```
data_LaTa2F
_cell_length_a 6.750
_cell_length_b 6.750
_cell_length_c 6.750
_cell_angle_alpha 90.00
_cell_angle_beta 90.00
_cell_angle_gamma 90.00
_symmetry_space_group_name_H-M 'F m -3 m'
_symmetry_Int_Tables_number 225
_symmetry_space_group_name_Hall '-F 4 2 3'
loop_
_atom_site_label
_atom_site_type_symbol
_atom_site_fract_x
_atom_site_fract_y
_atom_site_fract_z
La1 La 0.000 0.000 0.000
Ta1 Ta 0.250 0.250 0.250
F1 F 0.000 0.000 0.500
```

---

(17)
La2TaF: relaxed, PBE.

Output
polymorph energy (0 for the lowest one) = 1.00 eV/f.u.
size of the total moment = 8.363 μB per cell
density of states at the Fermi level = 2.67 states/eV/f.u.
formation energy (no corrections) = -0.164 eV/atom

```
data_La2TaF
_cell_length_a 7.298
_cell_length_b 7.298
_cell_length_c 7.298
_cell_angle_alpha 90.00
_cell_angle_beta 90.00
_cell_angle_gamma 90.00
_symmetry_space_group_name_H-M 'F m -3 m'
_symmetry_Int_Tables_number 225
_symmetry_space_group_name_Hall '-F 4 2 3'
loop_
_atom_site_label
_atom_site_type_symbol
_atom_site_fract_x
_atom_site_fract_y
_atom_site_fract_z
La1 La 0.250 0.250 0.250
Ta1 Ta 0.000 0.000 0.000
F1 F 0.000 0.000 0.500
```

---

(18)
LaTaF3: relaxed, PBE.

Output
polymorph energy (0 for the lowest one) = 0.00 eV/f.u.
size of the total moment = 3.548 μB per cell
density of states at the Fermi level = 4.71 states/eV/f.u.
formation energy (no corrections) = -1.481 eV/atom

```
data_LaTaF3
_cell_length_a 4.292
_cell_length_b 4.292
_cell_length_c 4.292
_cell_angle_alpha 90.00
_cell_angle_beta 90.00
_cell_angle_gamma 90.00
_symmetry_space_group_name_H-M 'P m -3 m'
_symmetry_Int_Tables_number 221
_symmetry_space_group_name_Hall '-P 4 2 3'
loop_
_atom_site_label
_atom_site_type_symbol
_atom_site_fract_x
_atom_site_fract_y
_atom_site_fract_z
La1 La 0.000 0.000 0.000
Ta1 Ta 0.500 0.500 0.500
F1 F 0.000 0.500 0.500
```

---

(19)
LaTaF3: relaxed, PBE.

Output
polymorph energy (0 for the lowest one) = 0.15 eV/f.u.
size of the total moment = 0.000 μB per cell
density of states at the Fermi level = 21.01 states/eV/f.u.
formation energy (no corrections) = -1.451 eV/atom

```
data_LaTaF3
_cell_length_a 4.746
_cell_length_b 4.746
_cell_length_c 4.746
_cell_angle_alpha 90.00
_cell_angle_beta 90.00
_cell_angle_gamma 90.00
_symmetry_space_group_name_H-M 'P m -3 m'
_symmetry_Int_Tables_number 221
_symmetry_space_group_name_Hall '-P 4 2 3'
loop_
_atom_site_label
_atom_site_type_symbol
_atom_site_fract_x
_atom_site_fract_y
_atom_site_fract_z
La1 La 0.000 0.000 0.000
Ta1 Ta 0.500 0.500 0.500
F1 F 0.000 0.000 0.500
```

---

(20)
LaTa2F: relaxed, PBE.

Output
polymorph energy (0 for the lowest one) = 0.00 eV/f.u.
size of the total moment = 0.000 μB per cell
density of states at the Fermi level = 5.50 states/eV/f.u.
formation energy (no corrections) = 0.299 eV/atom

```
data_LaTa2F
_cell_length_a 5.805
_cell_length_b 5.805
_cell_length_c 11.391
_cell_angle_alpha 90.00
_cell_angle_beta 90.00
_cell_angle_gamma 90.00
_symmetry_space_group_name_H-M 'I 41/a m d'
_symmetry_Int_Tables_number 141
loop_
_symmetry_equiv_pos_as_xyz
'x,y,z'
'-x,-y,-z'
'-y+1/4,x+3/4,z+1/4'
'y+1/4,-x+3/4,-z+1/4'
'-x+1/2,-y,z+1/2'
'x+1/2,y,-z+1/2'
'y+1/4,-x+1/4,z+3/4'
'-y+1/4,x+1/4,-z+3/4'
'x,-y,-z'
'-x,y,z'
'-y+1/4,-x+1/4,-z+3/4'
'y+1/4,x+1/4,z+3/4'
'-x+1/2,y,-z+1/2'
'x+1/2,-y,z+1/2'
'y+1/4,x+3/4,-z+1/4'
'-y+1/4,-x+3/4,z+1/4'
'x+1/2,y+1/2,z+1/2'
'-x+1/2,-y+1/2,-z+1/2'
'-y+3/4,x+1/4,z+3/4'
'y+3/4,-x+1/4,-z+3/4'
'-x,-y+1/2,z'
'x,y+1/2,-z'
'y+3/4,-x+3/4,z+1/4'
'-y+3/4,x+3/4,-z+1/4'
'x+1/2,-y+1/2,-z+1/2'
'-x+1/2,y+1/2,z+1/2'
'-y+3/4,-x+3/4,-z+1/4'
'y+3/4,x+3/4,z+1/4'
'-x,y+1/2,-z'
'x,-y+1/2,z'
'y+3/4,x+1/4,-z+3/4'
'-y+3/4,-x+1/4,z+3/4'
loop_
_atom_site_label
_atom_site_type_symbol
_atom_site_fract_x
_atom_site_fract_y
_atom_site_fract_z
La1 La 0.000 0.250 0.375
Ta1 Ta 0.000 0.000 0.000
F1 F 0.000 0.250 0.875
```